# GGA+U FeTeO, relaxed
data_FeTeO
_cell_length_a 3.2614
_cell_length_b 3.2614
_cell_length_c 6.8952
_cell_angle_alpha 90.00
_cell_angle_beta 90.00
_cell_angle_gamma 120.00
_space_group_name_H-M_alt 'P 3 m 1'
_space_group_IT_number 156
loop_
_space_group_symop_operation_xyz
'x,y,z'
'-y,x-y,z'
'-x+y,-x,z'
'-y,-x,z'
'-x+y,y,z'
'x,x-y,z'
loop_
_atom_site_label
_atom_site_type_symbol
_atom_site_fract_x
_atom_site_fract_y
_atom_site_fract_z
Fe1 Fe 0.0000 0.0000 0.0000
Te1 Te 0.0000 0.0000 0.6000
O1 O 0.3333 0.6667 0.0710
# total energy: -5.169 eV per atom
# magnetic moment: 1.516 μB/atom
# DOS(E_F): 0.50 states/eV/atom